Computed, not measured: a relaxed PmPr3Y2Se6 crystal at the PBE level of DFT.

For the total energy, the calculation gives -6.23 eV per atom. The value obtained for the total magnetization is 0.000 μB/f.u. For the uncorrected formation energy, the calculation gives -1822 meV/atom.

The space group is C2/m (No. 12) and the conventional cell measures 7.208, 12.548 and 7.331 Å, with angles of 90.00, 109.24 and 90.00 degrees. The asymmetric unit holds Pm at (0.000, 0.000, 0.000), Pr at (0.000, 0.163, 0.500), Pr at (0.000, 0.500, 0.500), Y at (0.000, 0.334, 0.000), Se at (0.238, 0.500, 0.235) and Se at (0.249, 0.170, 0.238).